! GaTc2H GGA-PBE relaxed; values from VASP
&SYSTEM
  ibrav = 0, nat = 4, ntyp = 3
/
ATOMIC_SPECIES
Tc 98.00 Tc.upf
H 1.01 H.upf
Ga 69.72 Ga.upf
CELL_PARAMETERS angstrom
-0.867 0.440 2.721
1.270 -1.426 2.169
4.397 4.376 2.228
ATOMIC_POSITIONS crystal
Tc 0.276 0.276 0.172
Tc 0.057 0.057 0.830
H 0.668 0.668 0.997
Ga 0.499 0.499 0.502
! ρ ... 9.605 g/cm³
! Total energy ... -6.8867 eV/atom
! E above lowest polymorph ... 0.0 meV/atom